DFT (PBE) results for a relaxed structure of AlSbS2.

* DFT total energy: -4.72 eV per atom
* magnetization: 0.00 μB/f.u.
* distance to the lowest polymorph of the same formula: 0.0021 eV/atom
* formation energy (no corrections): -687 meV/atom

Structure (CIF):
```
data_AlSbS2
_chemical_formula_sum 'Al2 Sb2 S4'
_space_group_name_H-M_alt 'P -1'
_space_group_IT_number 2
_space_group_name_Hall '-P 1'
_cell_length_a 3.4775
_cell_length_b 6.1282
_cell_length_c 8.3140
_cell_angle_alpha 76.47
_cell_angle_beta 89.68
_cell_angle_gamma 89.97
loop_
_atom_site_label
_atom_site_fract_x
_atom_site_fract_y
_atom_site_fract_z
Al1 0.2494 0.2494 0.9998
Sb1 0.3188 0.7497 0.5008
S1 0.2533 0.8657 0.1627
S2 0.2579 0.6341 0.8376
```